Crystalline LaNiMo2 at its relaxed geometry, computed with PBEsol.

The space group is Cm (No. 8) and the conventional cell measures 8.394, 3.299 and 5.782 Å, with angles of 90.00, 107.55 and 90.00 degrees. Symmetry generates all atoms from La at (0.000, 0.000, 0.000), Ni at (0.249, 0.500, 0.328), Mo at (0.203, 0.000, 0.646) and Mo at (0.475, 0.000, 0.479).

Its volume is 19.080 Å³ per atom. For the formation energy, the calculation gives 435 meV per atom. Its crystal system is monoclinic. As for the density: 8.474 g cm⁻³. Its distance to the lowest polymorph of the same formula is 0.0 meV per atom.